No. 1
The following is a DFT calculation (PBE-GGA) of crystalline CaReHg at its relaxed geometry.

Results
size of the total moment = 0.00 μB/f.u.
symmetry = P3m1
energy above the most stable polymorph in this dataset = 0.134 eV/atom
raw total energy = -4.1977 eV per atom
DFT formation energy = 208.3 kJ/mol of formula units

a = 3.0650 Å, b = 3.0650 Å, c = 7.5383 Å
α = 90.00°, β = 90.00°, γ = 120.00°
Fractional positions:
Ca  0.0000  0.0000  0.0000
Re  0.3333  0.6667  0.6757
Hg  0.6667  0.3333  0.3535

---

No. 2
The following is a DFT calculation (PBE-GGA) of crystalline CaRe2Hg at its relaxed geometry.

Results
size of the total moment = 0.00 μB/f.u.
symmetry = Cm
raw total energy = -6.2940 eV per atom
DFT formation energy = 195.2 kJ/mol of formula units

a = 4.3557 Å, b = 4.3557 Å, c = 6.9667 Å
α = 97.62°, β = 97.62°, γ = 42.28°
Fractional positions:
Ca  0.0000  0.0000  0.0000
Re  0.4942  0.4942  0.4188
Re  0.7676  0.7676  0.2986
Hg  0.2426  0.2426  0.6890

---

No. 3
The following is a DFT calculation (PBE-GGA) of crystalline CaReHg2 at its relaxed geometry.

Results
size of the total moment = 0.98 μB/f.u.
symmetry = I-42d
energy above the most stable polymorph in this dataset = 0.357 eV/atom
raw total energy = -2.9646 eV per atom
DFT formation energy = 308.3 kJ/mol of formula units

a = 10.0769 Å, b = 10.0769 Å, c = 10.0769 Å
α = 153.30°, β = 153.30°, γ = 38.12°
Fractional positions:
Ca  0.0000  0.0000  0.0000
Ca  0.7500  0.2500  0.5000
Re  0.2500  0.7500  0.5000
Re  0.5000  0.5000  0.0000
Hg  0.1912  0.6250  0.0662
Hg  0.3750  0.4412  0.5662
Hg  0.5588  0.1250  0.9338
Hg  0.8750  0.8088  0.4338

---

No. 4
The following is a DFT calculation (PBE-GGA) of crystalline CaReHg at its relaxed geometry.

Results
size of the total moment = 0.00 μB/f.u.
symmetry = I4mm
energy above the most stable polymorph in this dataset = 0.000 eV/atom
raw total energy = -4.3320 eV per atom
DFT formation energy = 169.4 kJ/mol of formula units

a = 7.4794 Å, b = 7.4794 Å, c = 7.4794 Å
α = 157.67°, β = 157.67°, γ = 31.78°
Fractional positions:
Ca  0.0000  0.0000  0.0000
Re  0.6641  0.6641  0.0000
Hg  0.3230  0.3230  0.0000

---

No. 5
The following is a DFT calculation (PBE-GGA) of crystalline CaRe2Hg at its relaxed geometry.

Results
size of the total moment = 0.00 μB/f.u.
symmetry = P4/mmm
raw total energy = -5.9947 eV per atom
DFT formation energy = 310.8 kJ/mol of formula units

a = 3.9418 Å, b = 3.9418 Å, c = 4.7748 Å
α = 90.00°, β = 90.00°, γ = 90.00°
Fractional positions:
Ca  0.0000  0.0000  0.0000
Re  0.0000  0.5000  0.5000
Re  0.5000  0.0000  0.5000
Hg  0.5000  0.5000  0.0000

---

No. 6
The following is a DFT calculation (PBE-GGA) of crystalline CaRe2Hg at its relaxed geometry.

Results
size of the total moment = 0.00 μB/f.u.
symmetry = P2/m
raw total energy = -6.1331 eV per atom
DFT formation energy = 257.3 kJ/mol of formula units

a = 2.8168 Å, b = 5.1471 Å, c = 5.2480 Å
α = 90.00°, β = 94.15°, γ = 90.00°
Fractional positions:
Ca  0.0000  0.0000  0.0000
Re  0.3548  0.5000  0.7733
Re  0.6452  0.5000  0.2267
Hg  0.5000  0.0000  0.5000

---

No. 7
The following is a DFT calculation (PBE-GGA) of crystalline CaRe2Hg at its relaxed geometry.

Results
size of the total moment = 0.00 μB/f.u.
symmetry = I4/mmm
raw total energy = -5.9532 eV per atom
DFT formation energy = 326.8 kJ/mol of formula units

a = 5.6166 Å, b = 5.6166 Å, c = 5.6166 Å
α = 139.07°, β = 139.07°, γ = 59.26°
Fractional positions:
Ca  0.0000  0.0000  0.0000
Re  0.2500  0.7500  0.5000
Re  0.7500  0.2500  0.5000
Hg  0.5000  0.5000  0.0000

---

No. 8
The following is a DFT calculation (PBE-GGA) of crystalline Ca2ReHg at its relaxed geometry.

Results
size of the total moment = 1.13 μB/f.u.
symmetry = P4/mmm
raw total energy = -3.7978 eV per atom
DFT formation energy = 150.7 kJ/mol of formula units

a = 3.2902 Å, b = 3.2902 Å, c = 8.7667 Å
α = 90.00°, β = 90.00°, γ = 90.00°
Fractional positions:
Ca  0.0000  0.0000  0.2254
Ca  0.0000  0.0000  0.7746
Re  0.5000  0.5000  0.0000
Hg  0.5000  0.5000  0.5000

---

No. 9
The following is a DFT calculation (PBE-GGA) of crystalline Ca2ReHg at its relaxed geometry.

Results
size of the total moment = 0.95 μB/f.u.
symmetry = F-43m
raw total energy = -3.5689 eV per atom
DFT formation energy = 239.0 kJ/mol of formula units

a = 5.0466 Å, b = 5.0466 Å, c = 5.0466 Å
α = 60.00°, β = 60.00°, γ = 60.00°
Fractional positions:
Ca  0.0000  0.0000  0.0000
Ca  0.2500  0.2500  0.2500
Re  0.5000  0.5000  0.5000
Hg  0.7500  0.7500  0.7500

---

No. 10
The following is a DFT calculation (PBE-GGA) of crystalline CaReHg at its relaxed geometry.

Results
size of the total moment = 3.16 μB/f.u.
symmetry = F-43m
energy above the most stable polymorph in this dataset = 0.909 eV/atom
raw total energy = -3.4226 eV per atom
DFT formation energy = 432.6 kJ/mol of formula units

a = 4.8713 Å, b = 4.8713 Å, c = 4.8713 Å
α = 60.00°, β = 60.00°, γ = 60.00°
Fractional positions:
Ca  0.0000  0.0000  0.0000
Re  0.2500  0.2500  0.2500
Hg  0.7500  0.7500  0.7500

---

No. 11
The following is a DFT calculation (PBE-GGA) of crystalline CaReHg2 at its relaxed geometry.

Results
size of the total moment = 0.00 μB/f.u.
symmetry = Cm
energy above the most stable polymorph in this dataset = 0.078 eV/atom
raw total energy = -3.2431 eV per atom
DFT formation energy = 200.8 kJ/mol of formula units

a = 5.9060 Å, b = 5.9060 Å, c = 5.2745 Å
α = 114.09°, β = 114.09°, γ = 29.83°
Fractional positions:
Ca  0.0000  0.0000  0.0000
Re  0.7446  0.7446  0.4081
Hg  0.2388  0.2388  0.8799
Hg  0.4761  0.4761  0.4671

---

No. 12
The following is a DFT calculation (PBE-GGA) of crystalline CaReHg2 at its relaxed geometry.

Results
size of the total moment = 2.19 μB/f.u.
symmetry = F-43m
energy above the most stable polymorph in this dataset = 0.347 eV/atom
raw total energy = -2.9739 eV per atom
DFT formation energy = 304.7 kJ/mol of formula units

a = 4.9881 Å, b = 4.9881 Å, c = 4.9881 Å
α = 60.00°, β = 60.00°, γ = 60.00°
Fractional positions:
Ca  0.0000  0.0000  0.0000
Re  0.2500  0.2500  0.2500
Hg  0.5000  0.5000  0.5000
Hg  0.7500  0.7500  0.7500

---

No. 13
The following is a DFT calculation (PBE-GGA) of crystalline CaRe2Hg at its relaxed geometry.

Results
size of the total moment = 0.00 μB/f.u.
symmetry = C2/m
raw total energy = -6.0379 eV per atom
DFT formation energy = 294.1 kJ/mol of formula units

a = 5.7829 Å, b = 5.7829 Å, c = 2.7868 Å
α = 100.82°, β = 100.82°, γ = 121.76°
Fractional positions:
Ca  0.0000  0.0000  0.0000
Re  0.0000  0.5000  0.5000
Re  0.5000  0.0000  0.5000
Hg  0.5000  0.5000  0.0000

---

No. 14
The following is a DFT calculation (PBE-GGA) of crystalline CaReHg2 at its relaxed geometry.

Results
size of the total moment = 1.09 μB/f.u.
symmetry = Fm-3m
energy above the most stable polymorph in this dataset = 0.090 eV/atom
raw total energy = -3.2313 eV per atom
DFT formation energy = 205.3 kJ/mol of formula units

a = 4.9242 Å, b = 4.9242 Å, c = 4.9242 Å
α = 60.00°, β = 60.00°, γ = 60.00°
Fractional positions:
Ca  0.0000  0.0000  0.0000
Re  0.5000  0.5000  0.5000
Hg  0.2500  0.2500  0.2500
Hg  0.7500  0.7500  0.7500

---

No. 15
The following is a DFT calculation (PBE-GGA) of crystalline CaReHg2 at its relaxed geometry.

Results
size of the total moment = 0.31 μB/f.u.
symmetry = I-4m2
energy above the most stable polymorph in this dataset = 0.151 eV/atom
raw total energy = -3.1706 eV per atom
DFT formation energy = 228.8 kJ/mol of formula units

a = 5.5750 Å, b = 5.5750 Å, c = 5.5750 Å
α = 135.62°, β = 135.62°, γ = 64.56°
Fractional positions:
Ca  0.0000  0.0000  0.0000
Re  0.7500  0.2500  0.5000
Hg  0.2500  0.7500  0.5000
Hg  0.5000  0.5000  0.0000

---

No. 16
The following is a DFT calculation (PBE-GGA) of crystalline CaReHg2 at its relaxed geometry.

Results
size of the total moment = 0.00 μB/f.u.
symmetry = R-3m
energy above the most stable polymorph in this dataset = 0.177 eV/atom
raw total energy = -3.1441 eV per atom
DFT formation energy = 239.0 kJ/mol of formula units

a = 9.9512 Å, b = 9.9512 Å, c = 9.9512 Å
α = 18.20°, β = 18.20°, γ = 18.20°
Fractional positions:
Ca  0.0000  0.0000  0.0000
Re  0.5000  0.5000  0.5000
Hg  0.2460  0.2460  0.2460
Hg  0.7540  0.7540  0.7540

---

No. 17
The following is a DFT calculation (PBE-GGA) of crystalline Ca2ReHg at its relaxed geometry.

Results
size of the total moment = 0.57 μB/f.u.
symmetry = I-4m2
raw total energy = -3.6261 eV per atom
DFT formation energy = 217.0 kJ/mol of formula units

a = 5.5875 Å, b = 5.5875 Å, c = 5.5875 Å
α = 133.05°, β = 133.05°, γ = 68.57°
Fractional positions:
Ca  0.0000  0.0000  0.0000
Ca  0.7500  0.2500  0.5000
Re  0.5000  0.5000  0.0000
Hg  0.2500  0.7500  0.5000

---

No. 18
The following is a DFT calculation (PBE-GGA) of crystalline CaReHg2 at its relaxed geometry.

Results
size of the total moment = 0.39 μB/f.u.
symmetry = Cmm2
energy above the most stable polymorph in this dataset = 0.055 eV/atom
raw total energy = -3.2663 eV per atom
DFT formation energy = 191.8 kJ/mol of formula units

a = 2.9864 Å, b = 2.9864 Å, c = 9.4383 Å
α = 90.00°, β = 90.00°, γ = 90.56°
Fractional positions:
Ca  0.0000  0.0000  0.0000
Re  0.5000  0.5000  0.2435
Hg  0.0000  0.0000  0.4683
Hg  0.5000  0.5000  0.7348

---

No. 19
The following is a DFT calculation (PBE-GGA) of crystalline CaReHg at its relaxed geometry.

Results
size of the total moment = 2.66 μB/f.u.
symmetry = F-43m
energy above the most stable polymorph in this dataset = 0.516 eV/atom
raw total energy = -3.8165 eV per atom
DFT formation energy = 318.6 kJ/mol of formula units

a = 4.7800 Å, b = 4.7800 Å, c = 4.7800 Å
α = 60.00°, β = 60.00°, γ = 60.00°
Fractional positions:
Ca  0.0000  0.0000  0.0000
Re  0.5000  0.5000  0.5000
Hg  0.7500  0.7500  0.7500

---

No. 20
The following is a DFT calculation (PBE-GGA) of crystalline CaReHg2Sb at its relaxed geometry.

Results
size of the total moment = 4.89 μB/f.u.
symmetry = P4/mmm
formation energy without anion corrections = 7.29 eV per formula unit
raw total energy = -2.3770 eV per atom

a = 5.6096 Å, b = 5.6096 Å, c = 5.8519 Å
α = 90.00°, β = 90.00°, γ = 90.00°
Fractional positions:
Ca  0.0000  0.0000  0.0000
Re  0.5000  0.5000  0.5000
Hg  0.0000  0.5000  0.0000
Hg  0.5000  0.0000  0.0000
Sb  0.0000  0.0000  0.5000